Entry 1:
# InSi2P, relaxed, DFT GGA-PBE
data_InSi2P
_chemical_formula_sum 'In4 Si8 P4'
_space_group_name_H-M_alt 'F m -3 m'
_space_group_IT_number 225
_space_group_name_Hall '-F 4 2 3'
_cell_length_a 6.5995
_cell_length_b 6.5995
_cell_length_c 6.5995
_cell_angle_alpha 90.00
_cell_angle_beta 90.00
_cell_angle_gamma 90.00
loop_
_atom_site_label
_atom_site_type_symbol
_atom_site_fract_x
_atom_site_fract_y
_atom_site_fract_z
In1 In 0.0000 0.0000 0.0000
Si1 Si 0.2500 0.2500 0.2500
P1 P 0.0000 0.0000 0.5000
# M_tot = 0.000 μB/atom
# energy above the lowest structure with this stoichiometry = 533 meV/atom
# formation energy from raw total energies = 253 kJ/mol of formula units



Entry 2:
# Ba2SrTl, relaxed, DFT GGA-PBE
data_Ba2SrTl
_chemical_formula_sum 'Ba2 Sr1 Tl1'
_space_group_name_H-M_alt 'P 4/m m m'
_space_group_IT_number 123
_space_group_name_Hall '-P 4 2'
_cell_length_a 6.1689
_cell_length_b 6.1689
_cell_length_c 4.8554
_cell_angle_alpha 90.00
_cell_angle_beta 90.00
_cell_angle_gamma 90.00
loop_
_atom_site_label
_atom_site_type_symbol
_atom_site_fract_x
_atom_site_fract_y
_atom_site_fract_z
Ba1 Ba 0.0000 0.5000 0.0000
Sr1 Sr 0.0000 0.0000 0.5000
Tl1 Tl 0.5000 0.5000 0.5000
# M_tot = 0.000 μB/atom
# energy above the lowest structure with this stoichiometry = 84 meV/atom
# calculated formation energy = -0.137 eV per atom



Entry 3:
# PrYHo2, relaxed, DFT GGA-PBE
data_PrYHo2
_chemical_formula_sum 'Pr1 Y1 Ho2'
_space_group_name_H-M_alt 'P 4/m m m'
_space_group_IT_number 123
_space_group_name_Hall '-P 4 2'
_cell_length_a 3.5896
_cell_length_b 3.5896
_cell_length_c 10.1331
_cell_angle_alpha 90.00
_cell_angle_beta 90.00
_cell_angle_gamma 90.00
loop_
_atom_site_label
_atom_site_type_symbol
_atom_site_fract_x
_atom_site_fract_y
_atom_site_fract_z
Pr1 Pr 0.0000 0.0000 0.0000
Y1 Y 0.0000 0.0000 0.5000
Ho1 Ho 0.5000 0.5000 0.2538
# M_tot = 0.000 μB/atom
# energy above the lowest structure with this stoichiometry = 18 meV/atom
# calculated formation energy = 0.027 eV per atom



Entry 4:
# PaTaCrTc, relaxed, DFT GGA-PBE
data_PaTaCrTc
_chemical_formula_sum 'Pa4 Ta4 Cr4 Tc4'
_space_group_name_H-M_alt 'F -4 3 m'
_space_group_IT_number 216
_space_group_name_Hall 'F -4 2 3'
_cell_length_a 6.5367
_cell_length_b 6.5367
_cell_length_c 6.5367
_cell_angle_alpha 90.00
_cell_angle_beta 90.00
_cell_angle_gamma 90.00
loop_
_atom_site_label
_atom_site_type_symbol
_atom_site_fract_x
_atom_site_fract_y
_atom_site_fract_z
Pa1 Pa 0.0000 0.0000 0.0000
Ta1 Ta 0.0000 0.0000 0.5000
Cr1 Cr 0.2500 0.2500 0.7500
Tc1 Tc 0.2500 0.2500 0.2500
# M_tot = 0.000 μB/atom
# calculated formation energy = -0.013 eV per atom



Entry 5:
# HfZn2Au5, relaxed, DFT GGA-PBE
data_HfZn2Au5
_chemical_formula_sum 'Hf4 Zn8 Au20'
_space_group_name_H-M_alt 'I 4/m c m'
_space_group_IT_number 140
_space_group_name_Hall '-I 4 2c'
_cell_length_a 7.0676
_cell_length_b 7.0676
_cell_length_c 11.5287
_cell_angle_alpha 90.00
_cell_angle_beta 90.00
_cell_angle_gamma 90.00
loop_
_atom_site_label
_atom_site_type_symbol
_atom_site_fract_x
_atom_site_fract_y
_atom_site_fract_z
Hf1 Hf 0.0000 0.0000 0.2500
Zn1 Zn 0.1489 0.3511 0.0000
Au1 Au 0.0000 0.0000 0.0000
Au2 Au 0.1523 0.3477 0.3424
# M_tot = 0.000 μB/atom
# calculated formation energy = -0.202 eV per atom



Entry 6:
# YSi2Br, relaxed, DFT GGA-PBE
data_YSi2Br
_chemical_formula_sum 'Y1 Si2 Br1'
_space_group_name_H-M_alt 'P 4 m m'
_space_group_IT_number 99
_space_group_name_Hall 'P 4 -2'
_cell_length_a 3.3942
_cell_length_b 3.3942
_cell_length_c 8.3343
_cell_angle_alpha 90.00
_cell_angle_beta 90.00
_cell_angle_gamma 90.00
loop_
_atom_site_label
_atom_site_type_symbol
_atom_site_fract_x
_atom_site_fract_y
_atom_site_fract_z
Y1 Y 0.0000 0.0000 0.0000
Si1 Si 0.0000 0.0000 0.6430
Si2 Si 0.5000 0.5000 0.7592
Br1 Br 0.5000 0.5000 0.2180
# M_tot = 0.000 μB/atom
# energy above the lowest structure with this stoichiometry = 338 meV/atom
# formation energy from raw total energies = -147 kJ/mol of formula units



Entry 7:
# Ag2SbSe, relaxed, DFT GGA-PBE
data_Ag2SbSe
_chemical_formula_sum 'Ag4 Sb2 Se2'
_space_group_name_H-M_alt 'C 1 m 1'
_space_group_IT_number 8
_space_group_name_Hall 'C -2y'
_cell_length_a 11.8050
_cell_length_b 3.7247
_cell_length_c 4.2982
_cell_angle_alpha 90.00
_cell_angle_beta 101.64
_cell_angle_gamma 90.00
loop_
_atom_site_label
_atom_site_type_symbol
_atom_site_fract_x
_atom_site_fract_y
_atom_site_fract_z
Ag1 Ag 0.0000 0.0000 0.0000
Ag2 Ag 0.1997 0.5000 0.9342
Sb1 Sb 0.4551 0.0000 0.4774
Se1 Se 0.2287 0.0000 0.4536
# M_tot = 0.000 μB/atom
# formation energy from raw total energies = 13 kJ/mol of formula units



Entry 8:
# Sr2CaDy, relaxed, DFT GGA-PBE
data_Sr2CaDy
_chemical_formula_sum 'Sr6 Ca3 Dy3'
_space_group_name_H-M_alt 'R 3 m'
_space_group_IT_number 160
_space_group_name_Hall 'R 3 -2"'
_cell_length_a 3.9289
_cell_length_b 3.9289
_cell_length_c 39.3226
_cell_angle_alpha 90.00
_cell_angle_beta 90.00
_cell_angle_gamma 120.00
loop_
_atom_site_label
_atom_site_type_symbol
_atom_site_fract_x
_atom_site_fract_y
_atom_site_fract_z
Sr1 Sr 0.0000 0.0000 0.0000
Sr2 Sr 0.0000 0.0000 0.1745
Ca1 Ca 0.0000 0.0000 0.4208
Dy1 Dy 0.0000 0.0000 0.5872
# M_tot = 0.259 μB/atom
# energy above the lowest structure with this stoichiometry = 1 meV/atom
# calculated formation energy = 0.154 eV per atom



Entry 9:
# TePt, relaxed, DFT GGA-PBE
data_TePt
_chemical_formula_sum 'Te2 Pt2'
_space_group_name_H-M_alt 'P m m a'
_space_group_IT_number 51
_space_group_name_Hall '-P 2a 2a'
_cell_length_a 3.6251
_cell_length_b 3.5251
_cell_length_c 7.7641
_cell_angle_alpha 90.00
_cell_angle_beta 90.00
_cell_angle_gamma 90.00
loop_
_atom_site_label
_atom_site_type_symbol
_atom_site_fract_x
_atom_site_fract_y
_atom_site_fract_z
Te1 Te 0.2500 0.0000 0.2324
Pt1 Pt 0.2500 0.5000 0.6380
# M_tot = 0.000 μB/atom
# formation energy from raw total energies = -17 kJ/mol of formula units



Entry 10:
# KScFe, relaxed, DFT GGA-PBE
data_KScFe
_chemical_formula_sum 'K1 Sc1 Fe1'
_space_group_name_H-M_alt 'P 3 m 1'
_space_group_IT_number 156
_space_group_name_Hall 'P 3 -2"'
_cell_length_a 3.3593
_cell_length_b 3.3593
_cell_length_c 8.0083
_cell_angle_alpha 90.00
_cell_angle_beta 90.00
_cell_angle_gamma 120.00
loop_
_atom_site_label
_atom_site_type_symbol
_atom_site_fract_x
_atom_site_fract_y
_atom_site_fract_z
K1 K 0.0000 0.0000 0.0000
Sc1 Sc 0.6667 0.3333 0.4473
Fe1 Fe 0.3333 0.6667 0.6619
# M_tot = 0.606 μB/atom
# energy above the lowest structure with this stoichiometry = 136 meV/atom
# calculated formation energy = 0.734 eV per atom



Entry 11:
# PmIn2F4, relaxed, DFT GGA-PBE
data_PmIn2F4
_chemical_formula_sum 'Pm2 In4 F8'
_space_group_name_H-M_alt 'I 4/m m m'
_space_group_IT_number 139
_space_group_name_Hall '-I 4 2'
_cell_length_a 4.5215
_cell_length_b 4.5215
_cell_length_c 18.4410
_cell_angle_alpha 90.00
_cell_angle_beta 90.00
_cell_angle_gamma 90.00
loop_
_atom_site_label
_atom_site_type_symbol
_atom_site_fract_x
_atom_site_fract_y
_atom_site_fract_z
Pm1 Pm 0.0000 0.0000 0.0000
In1 In 0.0000 0.0000 0.2432
F1 F 0.0000 0.0000 0.1230
F2 F 0.0000 0.5000 0.0000
# M_tot = 0.000 μB/atom
# formation energy from raw total energies = -1849 kJ/mol of formula units



Entry 12:
# ErNpPa2P4, relaxed, DFT GGA-PBE
data_ErNpPa2P4
_chemical_formula_sum 'Er1 Np1 Pa2 P4'
_space_group_name_H-M_alt 'P 1 2/m 1'
_space_group_IT_number 10
_space_group_name_Hall '-P 2y'
_cell_length_a 6.8451
_cell_length_b 3.9706
_cell_length_c 6.8740
_cell_angle_alpha 90.00
_cell_angle_beta 109.55
_cell_angle_gamma 90.00
loop_
_atom_site_label
_atom_site_type_symbol
_atom_site_fract_x
_atom_site_fract_y
_atom_site_fract_z
Er1 Er 0.0000 0.0000 0.0000
Np1 Np 0.0000 0.5000 0.5000
Pa1 Pa 0.5000 0.0000 0.5000
Pa2 Pa 0.5000 0.5000 0.0000
P1 P 0.2490 0.0000 0.7499
P2 P 0.2503 0.5000 0.2499
# M_tot = 0.535 μB/atom
# calculated formation energy = -1.279 eV per atom



The records above give, respectively, uncorrected energy values of -4.09, -2.11, -5.07, -10.35, -3.81, -5.13, -3.29, -2.34, -4.68, -4.56, -5.27, -8.55 eV per atom.
The records above give, respectively, Fermi-level density of states values of 13.36, 3.17, 5.82, 16.54, 12.76, 3.01, 1.85, 16.21, 1.23, 5.64, 2.89, 12.78 states/eV per cell.